# 1
Here is a geometry-optimized Dy2MgAl3Ag4 structure from the Alexandria database. Energies are from GGA-PBE.

POSCAR file:
```
Dy2MgAl3Ag4
1.0
4.260 0.000 0.000
0.000 4.260 0.000
0.000 0.000 11.406
Dy Mg Al Ag
2 1 3 4
direct
0.000 0.500 0.240 Dy
0.500 0.000 0.760 Dy
0.000 0.000 0.500 Mg
0.000 0.500 0.867 Al
0.500 0.000 0.133 Al
0.500 0.500 0.500 Al
0.000 0.000 0.000 Ag
0.000 0.500 0.646 Ag
0.500 0.000 0.354 Ag
0.500 0.500 0.000 Ag
```

Results
**ΔE_f**: -2.785 eV/f.u.
**DOS(E_F)**: 5.4 states/eV per cell
**Electronic total energy**: -36.22 eV/cell

=====

# 2
Here is a geometry-optimized DyMgAl2Ag2 structure from the Alexandria database. Energies are from GGA-PBE.

POSCAR file:
```
DyMgAl2Ag2
1.0
4.572 0.000 0.000
-2.286 3.959 0.000
0.000 0.000 6.615
Dy Mg Al Ag
1 1 2 2
direct
0.000 0.000 0.000 Dy
0.000 0.000 0.500 Mg
0.333 0.667 0.738 Al
0.667 0.333 0.262 Al
0.333 0.667 0.277 Ag
0.667 0.333 0.723 Ag
```

Results
**ΔE_f**: -1.684 eV/f.u.
**DOS(E_F)**: 3.0 states/eV per cell
**Electronic total energy**: -21.07 eV/cell

=====

# 3
Here is a geometry-optimized DyMgAl2Ag4 structure from the Alexandria database. Energies are from GGA-PBE.

POSCAR file:
```
DyMgAl2Ag4
1.0
2.294 1.325 8.347
-2.294 1.325 8.347
0.000 -2.649 8.347
Dy Mg Al Ag
1 1 2 4
direct
0.000 0.000 0.000 Dy
0.500 0.500 0.500 Mg
0.249 0.249 0.249 Al
0.751 0.751 0.751 Al
0.129 0.129 0.129 Ag
0.392 0.392 0.392 Ag
0.608 0.608 0.608 Ag
0.871 0.871 0.871 Ag
```

Results
**ΔE_f**: -1.742 eV/f.u.
**DOS(E_F)**: 4.7 states/eV per cell
**Electronic total energy**: -26.83 eV/cell

=====

# 4
Here is a geometry-optimized DyMgAl2Ag5 structure from the Alexandria database. Energies are from GGA-PBE.

POSCAR file:
```
DyMgAl2Ag5
1.0
4.801 0.000 0.000
0.000 4.801 0.000
0.000 0.000 7.988
Dy Mg Al Ag
1 1 2 5
direct
0.000 0.000 0.000 Dy
0.000 0.000 0.500 Mg
0.500 0.500 0.343 Al
0.500 0.500 0.657 Al
0.000 0.500 0.230 Ag
0.000 0.500 0.770 Ag
0.500 0.000 0.230 Ag
0.500 0.000 0.770 Ag
0.500 0.500 0.000 Ag
```

Results
**ΔE_f**: -0.525 eV/f.u.
**DOS(E_F)**: 3.0 states/eV per cell
**Electronic total energy**: -28.46 eV/cell

=====

# 5
Here is a geometry-optimized DyAlNiAg structure from the Alexandria database. Energies are from GGA-PBE.

POSCAR file:
```
DyAlNiAg
1.0
0.000 3.301 3.301
3.301 0.000 3.301
3.301 3.301 0.000
Dy Al Ni Ag
1 1 1 1
direct
0.000 0.000 0.000 Dy
0.500 0.500 0.500 Al
0.250 0.250 0.250 Ni
0.750 0.750 0.750 Ag
```

Results
**ΔE_f**: -1.268 eV/f.u.
**DOS(E_F)**: 3.3 states/eV per cell
**Electronic total energy**: -18.24 eV/cell

=====

# 6
Here is a geometry-optimized Dy2Al4AgPd3 structure from the Alexandria database. Energies are from GGA-PBE.

POSCAR file:
```
Dy2Al4AgPd3
1.0
4.171 0.000 0.000
0.000 4.171 0.000
0.000 0.000 10.916
Dy Al Ag Pd
2 4 1 3
direct
0.000 0.500 0.239 Dy
0.500 0.000 0.761 Dy
0.000 0.000 0.000 Al
0.000 0.500 0.638 Al
0.500 0.000 0.362 Al
0.500 0.500 0.000 Al
0.000 0.000 0.500 Ag
0.000 0.500 0.865 Pd
0.500 0.000 0.135 Pd
0.500 0.500 0.500 Pd
```

Results
**ΔE_f**: -7.290 eV/f.u.
**DOS(E_F)**: 4.4 states/eV per cell
**Electronic total energy**: -49.89 eV/cell

=====

# 7
Here is a geometry-optimized DyAl4AgPd2 structure from the Alexandria database. Energies are from GGA-PBE.

POSCAR file:
```
DyAl4AgPd2
1.0
2.154 1.244 8.860
-2.154 1.244 8.860
0.000 -2.487 8.860
Dy Al Ag Pd
1 4 1 2
direct
0.000 0.000 0.000 Dy
0.125 0.125 0.125 Al
0.400 0.400 0.400 Al
0.600 0.600 0.600 Al
0.875 0.875 0.875 Al
0.500 0.500 0.500 Ag
0.241 0.241 0.241 Pd
0.759 0.759 0.759 Pd
```

Results
**ΔE_f**: -4.390 eV/f.u.
**DOS(E_F)**: 2.8 states/eV per cell
**Electronic total energy**: -37.20 eV/cell

=====

# 8
Here is a geometry-optimized DyAlAgPd structure from the Alexandria database. Energies are from GGA-PBE.

POSCAR file:
```
DyAlAgPd
1.0
0.000 3.369 3.369
3.369 0.000 3.369
3.369 3.369 0.000
Dy Al Ag Pd
1 1 1 1
direct
0.000 0.000 0.000 Dy
0.500 0.500 0.500 Al
0.250 0.250 0.250 Ag
0.750 0.750 0.750 Pd
```

Results
**ΔE_f**: -2.229 eV/f.u.
**DOS(E_F)**: 2.7 states/eV per cell
**Electronic total energy**: -18.62 eV/cell

=====

# 9
Here is a geometry-optimized PrDyAlAg structure from the Alexandria database. Energies are from GGA-PBE.

POSCAR file:
```
PrDyAlAg
1.0
0.000 3.722 3.722
3.722 0.000 3.722
3.722 3.722 0.000
Pr Dy Al Ag
1 1 1 1
direct
0.000 0.000 0.000 Pr
0.500 0.500 0.500 Dy
0.250 0.250 0.250 Al
0.750 0.750 0.750 Ag
```

Results
**ΔE_f**: -1.188 eV/f.u.
**DOS(E_F)**: 4.4 states/eV per cell
**Electronic total energy**: -17.16 eV/cell

=====

# 10
Here is a geometry-optimized PrDyAlAg structure from the Alexandria database. Energies are from GGA-PBE.

POSCAR file:
```
PrDyAlAg
1.0
3.620 0.000 0.000
0.000 3.620 0.000
0.000 0.000 7.711
Pr Dy Al Ag
1 1 1 1
direct
0.000 0.000 0.000 Pr
0.000 0.000 0.505 Dy
0.500 0.500 0.741 Al
0.500 0.500 0.286 Ag
```

Results
**ΔE_f**: -1.347 eV/f.u.
**DOS(E_F)**: 3.6 states/eV per cell
**Electronic total energy**: -17.32 eV/cell

=====

# 11
Here is a geometry-optimized Dy2Al4AgPt3 structure from the Alexandria database. Energies are from GGA-PBE.

POSCAR file:
```
Dy2Al4AgPt3
1.0
4.212 0.000 0.000
0.000 4.212 0.000
0.000 0.000 10.650
Dy Al Ag Pt
2 4 1 3
direct
0.000 0.500 0.242 Dy
0.500 0.000 0.758 Dy
0.000 0.000 0.000 Al
0.000 0.500 0.635 Al
0.500 0.000 0.365 Al
0.500 0.500 0.000 Al
0.000 0.000 0.500 Ag
0.000 0.500 0.866 Pt
0.500 0.000 0.134 Pt
0.500 0.500 0.500 Pt
```

Results
**ΔE_f**: -9.430 eV/f.u.
**DOS(E_F)**: 6.8 states/eV per cell
**Electronic total energy**: -54.58 eV/cell

=====

# 12
Here is a geometry-optimized Dy2Al3AgPt4 structure from the Alexandria database. Energies are from GGA-PBE.

POSCAR file:
```
Dy2Al3AgPt4
1.0
4.032 0.000 0.000
0.000 4.032 0.000
0.000 0.000 11.605
Dy Al Ag Pt
2 3 1 4
direct
0.000 0.500 0.245 Dy
0.500 0.000 0.755 Dy
0.000 0.000 0.000 Al
0.000 0.500 0.626 Al
0.500 0.000 0.374 Al
0.500 0.500 0.000 Ag
0.000 0.000 0.500 Pt
0.000 0.500 0.837 Pt
0.500 0.000 0.163 Pt
0.500 0.500 0.500 Pt
```

Results
**ΔE_f**: -9.712 eV/f.u.
**DOS(E_F)**: 4.3 states/eV per cell
**Electronic total energy**: -57.16 eV/cell